# 1
Computed, not measured: a relaxed structure of Tm2MgHg at the GGA-PBE level of DFT.

Cell lengths 5.2280, 5.2280, 5.2280 Å; angles 60.00, 60.00, 60.00 degrees
Closest atoms and distances in Å follow each position.
Element x y z (fractional)
Mg: 0.5000 0.5000 0.5000  8 Tm 3.20
Tm: 0.2500 0.2500 0.2500  4 Hg 3.20, 4 Mg 3.20
Tm: 0.7500 0.7500 0.7500  4 Mg 3.20, 4 Hg 3.20
Hg: 0.0000 0.0000 0.0000  8 Tm 3.20

Calculated values
The crystal system is cubic. Its formation energy is -0.25 eV per atom. Its offset from the most stable computed form is 19 meV per atom.


# 2
Computed, not measured: a relaxed structure of CeHg4Pb7 at the GGA-PBE level of DFT.

Cell lengths 6.3956, 9.4030, 7.4170 Å; angles 70.46, 64.46, 70.12 degrees
Closest atoms and distances in Å follow each position.
Element x y z (fractional)
Ce: 0.0000 0.0000 0.0000  8 Pb 3.20-3.47
Hg: 0.5027 0.3294 0.6652  2 Hg 3.14-3.32, 5 Pb 3.16-3.34
Hg: 0.4973 0.6706 0.3348  2 Hg 3.14-3.32, 5 Pb 3.16-3.34
Hg: 0.7360 0.6580 0.8700  1 Hg 3.14, 6 Pb 3.16-3.33
Hg: 0.2640 0.3420 0.1300  1 Hg 3.14, 6 Pb 3.16-3.33
Pb: 0.7531 0.9676 0.5263  2 Hg 3.16-3.52, 5 Pb 3.25-3.48, 1 Ce 3.47
Pb: 0.2469 0.0324 0.4737  2 Hg 3.16-3.52, 5 Pb 3.25-3.48, 1 Ce 3.47
Pb: 0.0120 0.6496 0.3264  3 Pb 3.11-3.44, 3 Hg 3.20-3.27, 1 Ce 3.37
Pb: 0.9880 0.3504 0.6736  3 Pb 3.11-3.44, 3 Hg 3.20-3.27, 1 Ce 3.37
Pb: 0.2622 0.6687 0.8070  5 Hg 3.16-3.34, 2 Pb 3.44-3.48, 1 Ce 3.45
Pb: 0.5000 0.0000 0.0000  2 Ce 3.20, 2 Pb 3.25, 4 Hg 3.26-3.33
Pb: 0.7378 0.3313 0.1930  5 Hg 3.16-3.34, 2 Pb 3.44-3.48, 1 Ce 3.45

Calculated values
The crystal system is monoclinic. Its formation energy is 0.05 eV per atom.


# 3
Computed, not measured: a relaxed structure of Pu3Pa2Se8 at the GGA-PBE level of DFT.

Cell lengths 4.9418, 9.7692, 8.4895 Å; angles 125.12, 90.00, 90.00 degrees
Closest atoms and distances in Å follow each position.
Element x y z (fractional)
Pu: 0.5000 0.0000 0.0000  8 Se 2.97-3.00
Pu: 0.0000 0.2692 0.0000  8 Se 2.91-3.13
Pu: 0.0000 0.7308 0.0000  8 Se 2.91-3.13
Pa: 0.5000 0.2584 0.5168  8 Se 2.90-3.11
Pa: 0.5000 0.7416 0.4832  8 Se 2.90-3.11
Se: 0.0000 0.6327 0.2653  2 Pa 2.90, 2 Pu 2.91
Se: 0.0000 0.3673 0.7347  2 Pa 2.90, 2 Pu 2.91
Se: 0.0000 0.1228 0.2457  4 Pu 3.00-3.13, 2 Pa 3.11
Se: 0.0000 0.8772 0.7543  4 Pu 3.00-3.13, 2 Pa 3.11
Se: 0.5000 0.6281 0.7480  2 Pa 2.96-3.02, 3 Pu 2.97-3.04
Se: 0.5000 0.1198 0.7479  2 Pa 2.96-3.02, 3 Pu 2.97-3.04
Se: 0.5000 0.8802 0.2521  2 Pa 2.96-3.02, 3 Pu 2.97-3.04
Se: 0.5000 0.3719 0.2520  2 Pa 2.96-3.02, 3 Pu 2.97-3.04

Calculated values
The crystal system is orthorhombic. The formation energy from raw total energies is -1357 meV per atom.


# 4
Computed, not measured: a relaxed structure of SBrO2 at the GGA-PBE level of DFT.

Cell lengths 8.5828, 8.5828, 8.5828 Å; angles 20.35, 20.35, 20.35 degrees
Closest atoms and distances in Å follow each position.
Element x y z (fractional)
S: 0.0000 0.0000 0.0000  2 O 1.48
O: 0.9413 0.9413 0.9413  1 S 1.48
O: 0.0587 0.0587 0.0587  1 S 1.48
Br: 0.5000 0.5000 0.5000  6 Br 3.03, 6 O 3.24

Calculated values
The crystal system is trigonal. Its offset from the most stable computed form is 735 meV per atom. The formation energy from raw total energies is 107 meV per atom.


# 5
Computed, not measured: a relaxed structure of La5Tb2Pr4 at the GGA-PBE level of DFT.

Cell lengths 3.5893, 9.1595, 12.0611 Å; angles 94.47, 90.00, 90.00 degrees
Closest atoms and distances in Å follow each position.
Element x y z (fractional)
La: 0.0000 0.5703 0.2908  1 Tb 3.46, 4 La 3.52-3.61, 4 Pr 3.75-3.82
La: 0.0000 0.1977 0.1693  1 Tb 3.44, 4 La 3.57-3.61, 4 Pr 3.72-3.79
La: 0.0000 0.5000 0.0000  6 La 3.52-3.59, 4 Pr 3.77
La: 0.0000 0.8023 0.8307  1 Tb 3.44, 4 La 3.57-3.61, 4 Pr 3.72-3.79
La: 0.0000 0.4297 0.7093  1 Tb 3.46, 4 La 3.52-3.61, 4 Pr 3.75-3.82
Tb: 0.0000 0.0569 0.6351  3 Tb 3.34-3.59, 2 La 3.44-3.46, 6 Pr 3.63-3.69
Tb: 0.0000 0.9431 0.3649  3 Tb 3.34-3.59, 2 La 3.44-3.46, 6 Pr 3.63-3.69
Pr: 0.5000 0.7152 0.5490  2 Pr 3.59, 4 Tb 3.64-3.69, 6 La 3.75-3.87
Pr: 0.5000 0.1552 0.8921  3 Pr 3.59-4.00, 2 Tb 3.63, 8 La 3.72-3.91
Pr: 0.5000 0.2848 0.4510  2 Pr 3.59, 4 Tb 3.64-3.69, 6 La 3.75-3.87
Pr: 0.5000 0.8448 0.1079  3 Pr 3.59-4.00, 2 Tb 3.63, 8 La 3.72-3.91

Calculated values
The crystal system is monoclinic. Its formation energy is 0.07 eV per atom. Its offset from the most stable computed form is 0 meV per atom.


# 6
Computed, not measured: a relaxed structure of Ho3ErTm3 at the GGA-PBE level of DFT.

Cell lengths 5.5568, 9.4514, 9.4515 Å; angles 120.00, 90.00, 90.00 degrees
Closest atoms and distances in Å follow each position.
Element x y z (fractional)
Ho: 0.7500 0.7608 0.8086  5 Tm 3.46-3.58, 6 Ho 3.47-3.59, 1 Er 3.56
Ho: 0.7500 0.0478 0.2391  5 Tm 3.46-3.58, 6 Ho 3.47-3.59, 1 Er 3.56
Ho: 0.7500 0.1913 0.9522  5 Tm 3.46-3.58, 6 Ho 3.47-3.59, 1 Er 3.57
Ho: 0.2500 0.2392 0.1914  5 Tm 3.46-3.58, 6 Ho 3.47-3.59, 1 Er 3.56
Ho: 0.2500 0.9522 0.7609  5 Tm 3.46-3.58, 6 Ho 3.47-3.59, 1 Er 3.56
Ho: 0.2500 0.8087 0.0478  5 Tm 3.46-3.58, 6 Ho 3.47-3.59, 1 Er 3.57
Er: 0.7500 0.3333 0.6666  9 Tm 3.46-3.57, 3 Ho 3.56-3.57
Er: 0.2500 0.6667 0.3334  9 Tm 3.46-3.57, 3 Ho 3.56-3.57
Tm: 0.2500 0.5237 0.6186  5 Ho 3.46-3.58, 4 Tm 3.46-3.58, 3 Er 3.46-3.57
Tm: 0.2500 0.0948 0.4762  4 Tm 3.46-3.58, 5 Ho 3.46-3.58, 3 Er 3.46-3.57
Tm: 0.2500 0.3813 0.9050  5 Ho 3.46-3.58, 4 Tm 3.46-3.58, 3 Er 3.46-3.57
Tm: 0.7500 0.4763 0.3814  5 Ho 3.46-3.58, 4 Tm 3.46-3.58, 3 Er 3.46-3.57
Tm: 0.7500 0.9052 0.5238  4 Tm 3.46-3.58, 5 Ho 3.46-3.58, 3 Er 3.46-3.57
Tm: 0.7500 0.6187 0.0950  5 Ho 3.46-3.58, 4 Tm 3.46-3.58, 3 Er 3.46-3.57

Calculated values
The crystal system is hexagonal. Its formation energy is 0.00 eV per atom. Its offset from the most stable computed form is 0 meV per atom.


# 7
Computed, not measured: a relaxed structure of TbThRu2 at the GGA-PBE level of DFT.

Cell lengths 5.8548, 5.8435, 10.7012 Å; angles 102.39, 90.00, 90.00 degrees
Closest atoms and distances in Å follow each position.
Element x y z (fractional)
Tb: 0.3683 0.0486 0.3547  7 Ru 2.92-3.17
Tb: 0.6317 0.9514 0.6453  7 Ru 2.92-3.17
Tb: 0.3683 0.4514 0.1453  7 Ru 2.92-3.17
Tb: 0.6317 0.5486 0.8547  7 Ru 2.92-3.17
Th: 0.1377 0.4589 0.6469  3 Ru 2.64-2.88
Th: 0.8623 0.5411 0.3531  3 Ru 2.64-2.88
Th: 0.1377 0.0411 0.8531  3 Ru 2.64-2.88
Th: 0.8623 0.9589 0.1469  3 Ru 2.64-2.88
Ru: 0.6593 0.0920 0.9426  2 Ru 2.59-2.72, 1 Th 2.74
Ru: 0.3407 0.9080 0.0574  2 Ru 2.59-2.72, 1 Th 2.74
Ru: 0.6593 0.4080 0.5574  2 Ru 2.59-2.72, 1 Th 2.74
Ru: 0.3407 0.5920 0.4426  2 Ru 2.59-2.72, 1 Th 2.74
Ru: 0.8755 0.4544 0.1011  2 Th 2.64-2.88, 2 Ru 2.72-2.75, 1 Tb 2.92
Ru: 0.1245 0.5456 0.8989  2 Th 2.64-2.88, 2 Ru 2.72-2.75, 1 Tb 2.92
Ru: 0.8755 0.0456 0.3989  2 Th 2.64-2.88, 2 Ru 2.72-2.75, 1 Tb 2.92
Ru: 0.1245 0.9544 0.6011  2 Th 2.64-2.88, 2 Ru 2.72-2.75, 1 Tb 2.92

Calculated values
The crystal system is monoclinic. Its formation energy is -0.33 eV per atom.


# 8
Computed, not measured: a relaxed structure of Zr2BeO at the GGA-PBE level of DFT.

Cell lengths 3.3334, 3.3334, 7.8007 Å; angles 77.66, 77.66, 60.00 degrees
Closest atoms and distances in Å follow each position.
Element x y z (fractional)
Be: 0.5000 0.5000 0.5000  6 Zr 2.64
O: 0.0000 0.0000 0.0000  2 Zr 1.97
Zr: 0.0868 0.0868 0.7395  1 O 1.97
Zr: 0.9132 0.9132 0.2605  1 O 1.97

Calculated values
The crystal system is trigonal. Its offset from the most stable computed form is 0 meV per atom. The formation energy from raw total energies is -858 meV per atom.


| no. | E_tot (eV per atom) |
| --- | --- |
| 1 | -2.960 |
| 2 | -2.704 |
| 3 | -8.270 |
| 4 | -3.823 |
| 5 | -4.746 |
| 6 | -4.528 |
| 7 | -7.980 |
| 8 | -7.303 |